# Tl2GaCoC

A relaxed Tl2GaCoC crystal (GGA-PBE, the Alexandria database).

Lattice parameters (Å, degrees): 5.057 4.558 5.057 90.00 90.00 90.00
Sites, in units of the cell vectors:
1 Tl 0.000 0.000 0.500
2 Tl 0.500 0.000 0.000
3 Ga 0.000 0.500 0.000
4 Co 0.000 0.000 0.000
5 C 0.500 0.500 0.500

Output
Its spin magnetization is 2.50 μB/f.u. The calculation puts the formation energy from the elements at 1.287 eV/atom.